# Pm4CdPd

A relaxed Pm4CdPd crystal (GGA-PBE, Alexandria).

Computed properties:
Distance to the lowest polymorph of the same formula = 99 meV/atom
Space group = P-1, No. 2
Energy of formation from the pure elements = -0.31 eV/atom
Crystal system = triclinic
D(E_F) = 7.3 states/eV/f.u.

a = 6.0252 Å, b = 8.8771 Å, c = 8.3446 Å
α = 118.16°, β = 97.70°, γ = 109.04°
Closest atoms and distances in Å follow each position.
Atoms (fractional coordinates):
Pm  0.2827  0.6514  0.8731  2 Pd 2.93-3.01, 1 Cd 3.15
Pd  0.2404  0.0065  0.0024  2 Pd 2.86-3.17, 7 Pm 2.93-3.15
Pm  0.7816  0.6789  0.6187  2 Pd 3.14-3.15, 2 Pm 3.28-3.45, 2 Cd 3.30-3.46
Pm  0.6207  0.1035  0.3700  2 Pd 3.11-3.12, 1 Cd 3.14, 1 Pm 3.45
Pm  0.9361  0.8193  0.2060  2 Pd 3.11-3.24, 2 Cd 3.35-3.38
Cd  0.6233  0.3952  0.7761  7 Pm 3.14-3.46
Pd  0.7596  0.9935  0.9976  2 Pd 2.86-3.17, 7 Pm 2.93-3.15
Pm  0.3793  0.8965  0.6300  2 Pd 3.11-3.12, 1 Cd 3.14, 1 Pm 3.45
Pm  0.2184  0.3211  0.3813  2 Pd 3.14-3.15, 2 Pm 3.28-3.45, 2 Cd 3.30-3.46
Pm  0.7173  0.3486  0.1269  2 Pd 2.93-3.01, 1 Cd 3.15
Cd  0.3767  0.6048  0.2239  7 Pm 3.14-3.46
Pm  0.0639  0.1807  0.7940  2 Pd 3.11-3.24, 2 Cd 3.35-3.38

---

# PmCd6Pd12

A relaxed PmCd6Pd12 crystal (GGA-PBE, Alexandria).

Computed properties:
Space group = R-3, No. 148
Energy of formation from the pure elements = -0.21 eV/atom
Crystal system = trigonal
D(E_F) = 12.7 states/eV/f.u.

a = 7.1997 Å, b = 7.1997 Å, c = 7.1997 Å
α = 101.06°, β = 101.06°, γ = 101.06°
Closest atoms and distances in Å follow each position.
Atoms (fractional coordinates):
Cd  0.1813  0.4479  0.1825  5 Pd 2.72-2.99, 2 Cd 2.96
Pd  0.7419  0.2589  0.9998  2 Cd 2.72, 6 Pd 2.79-3.00, 1 Pm 2.87
Cd  0.5521  0.8175  0.8187  5 Pd 2.72-2.99, 2 Cd 2.96
Cd  0.8175  0.8187  0.5521  5 Pd 2.72-2.99, 2 Cd 2.96
Cd  0.4479  0.1825  0.1813  5 Pd 2.72-2.99, 2 Cd 2.96
Pd  0.5979  0.1780  0.5971  5 Pd 2.64-2.82, 1 Cd 2.84
Pd  0.8220  0.4029  0.4021  5 Pd 2.64-2.82, 1 Cd 2.84
Pd  0.4021  0.8220  0.4029  5 Pd 2.64-2.82, 1 Cd 2.84
Pd  0.7411  0.0002  0.2581  2 Cd 2.72, 6 Pd 2.79-3.00, 1 Pm 2.87
Pd  0.9998  0.7419  0.2589  2 Cd 2.72, 6 Pd 2.79-3.00, 1 Pm 2.87
Pd  0.1780  0.5971  0.5979  5 Pd 2.64-2.82, 1 Cd 2.84
Pd  0.2589  0.9998  0.7419  2 Cd 2.72, 6 Pd 2.79-3.00, 1 Pm 2.87
Pm  0.0000  0.0000  0.0000  6 Pd 2.87, 6 Cd 3.15
Cd  0.8187  0.5521  0.8175  5 Pd 2.72-2.99, 2 Cd 2.96
Pd  0.2581  0.7411  0.0002  2 Cd 2.72, 6 Pd 2.79-3.00, 1 Pm 2.87
Pd  0.0002  0.2581  0.7411  2 Cd 2.72, 6 Pd 2.79-3.00, 1 Pm 2.87
Cd  0.1825  0.1813  0.4479  5 Pd 2.72-2.99, 2 Cd 2.96
Pd  0.5971  0.5979  0.1780  5 Pd 2.64-2.82, 1 Cd 2.84
Pd  0.4029  0.4021  0.8220  5 Pd 2.64-2.82, 1 Cd 2.84